No. 1
The following is a GGA-PBE calculation of a geometry-optimized Ac2PrSe structure, from the Alexandria database.

Lattice parameters (Å, degrees): 4.0289 4.0289 34.2314 90.00 90.00 120.00
Space group R-3m (No. 166, hexagonal axes)
Asymmetric unit:
Ac1 0.0000 0.0000 0.1069 x6
Pr1 0.0000 0.0000 0.0000 x3
Se1 0.0000 0.0000 0.5000 x3

Calculated total energy, eV/cell: -55.9
Raw formation energy, eV per atom: -0.541

No. 2
The following is a GGA-PBE calculation of a geometry-optimized KSnAs2Se structure, from the Alexandria database.

Lattice parameters (Å, degrees): 5.405 5.405 5.554 90.00 90.00 90.00
Space group P4/mmm (No. 123)
Asymmetric unit:
K1 0.000 0.000 0.000 x1
Sn1 0.500 0.500 0.500 x1
As1 0.000 0.500 0.000 x2
Se1 0.000 0.000 0.500 x1

Calculated total energy, eV/cell: -12.1
Raw formation energy, eV per atom: 1.155

No. 3
The following is a GGA-PBE calculation of a geometry-optimized Dy4In3Ir structure, from the Alexandria database.

Lattice parameters (Å, degrees): 3.538 3.538 15.944 90.00 90.00 90.00
Space group P4/mmm (No. 123)
Asymmetric unit:
Dy1 0.000 0.000 0.102 x2
Dy2 0.000 0.000 0.368 x2
In1 0.500 0.500 0.239 x2
In2 0.500 0.500 0.500 x1
Ir1 0.500 0.500 0.000 x1

Calculated total energy, eV/cell: -40.1
Energy relative to the elements, eV/atom: -0.5717